## Fe6CuNi5 (PBE)

Data for a geometry-optimized Fe6CuNi5 structure.

## Properties
DFT formation energy: -2.6 kJ per mole of atoms

Lattice parameters (Å, degrees): 5.619 5.619 7.247 90.00 90.00 143.32
Element x y z (fractional)
Fe: 0.000 0.000 0.247
Fe: 0.000 0.000 0.753
Fe: 0.332 0.668 0.248
Fe: 0.332 0.668 0.752
Fe: 0.668 0.332 0.248
Fe: 0.668 0.332 0.752
Cu: 0.500 0.500 0.500
Ni: 0.167 0.833 0.000
Ni: 0.167 0.833 0.500
Ni: 0.500 0.500 0.000
Ni: 0.833 0.167 0.000
Ni: 0.833 0.167 0.500